Record 1
Pm8AlAg2 after structural relaxation, computed with PBE.

abc: 8.634 8.634 8.576
angles: 118.92 118.92 36.35
Positions (direct):
Pm: 0.071 0.071 0.221
Pm: 0.135 0.135 0.690
Pm: 0.319 0.319 0.540
Pm: 0.405 0.405 0.053
Pm: 0.595 0.595 0.947
Pm: 0.681 0.681 0.460
Pm: 0.865 0.865 0.310
Pm: 0.929 0.929 0.779
Al: 0.500 0.500 0.500
Ag: 0.226 0.226 0.114
Ag: 0.774 0.774 0.886

Values from the calculation:
Energy of formation = -3.0 kcal/mol of atoms
Space group = C2/m, No. 12

---

Record 2
Al2AgPdAu4 after structural relaxation, computed with PBE.

abc: 3.855 3.855 10.412
angles: 90.00 90.00 90.00
Positions (direct):
Al: 0.000 0.000 0.121
Al: 0.000 0.000 0.879
Ag: 0.500 0.500 0.500
Pd: 0.500 0.500 0.000
Au: 0.000 0.500 0.290
Au: 0.000 0.500 0.710
Au: 0.500 0.000 0.290
Au: 0.500 0.000 0.710

Values from the calculation:
Energy of formation = -2.0 kcal/mol of atoms
Space group = P4/mmm, No. 123

---

Record 3
PmScCo10 after structural relaxation, computed with PBE.

abc: 3.969 4.857 8.491
angles: 90.00 90.00 90.00
Positions (direct):
Pm: 0.000 0.000 0.000
Sc: 0.000 0.500 0.500
Co: 0.000 0.000 0.344
Co: 0.000 0.000 0.656
Co: 0.000 0.500 0.188
Co: 0.000 0.500 0.812
Co: 0.500 0.000 0.500
Co: 0.500 0.253 0.256
Co: 0.500 0.253 0.744
Co: 0.500 0.500 0.000
Co: 0.500 0.747 0.256
Co: 0.500 0.747 0.744

Values from the calculation:
Energy of formation = -1.9 kcal/mol of atoms
Space group = Pmmm, No. 47

---

Record 4
OsRhAu2 after structural relaxation, computed with PBE.

abc: 4.880 4.880 4.880
angles: 131.59 131.59 70.89
Positions (direct):
Os: 0.000 0.000 0.000
Rh: 0.250 0.750 0.500
Au: 0.500 0.500 0.000
Au: 0.750 0.250 0.500

Values from the calculation:
Energy of formation = 11.5 kcal/mol of atoms
Space group = I-4m2, No. 119

---

Record 5
La3Se after structural relaxation, computed with PBE.

abc: 3.912 3.912 10.237
angles: 90.00 90.00 120.00
Positions (direct):
La: 0.000 0.000 0.000
La: 0.333 0.667 0.297
La: 0.333 0.667 0.703
Se: 0.000 0.000 0.500

Values from the calculation:
Space group = P-6m2, No. 187
ΔE_f (raw) = -0.81 eV per atom

---

Record 6
CeErSb after structural relaxation, computed with PBE.

abc: 5.976 5.976 5.976
angles: 140.83 140.83 56.60
Positions (direct):
Ce: 0.000 0.000 0.000
Er: 0.699 0.699 0.000
Sb: 0.336 0.336 0.000

Values from the calculation:
Space group = I4mm, No. 107
ΔE_f (raw) = -0.55 eV per atom

---

Record 7
Cs3Ce2Br8 after structural relaxation, computed with PBE.

abc: 9.952 9.952 8.592
angles: 105.97 105.97 55.02
Positions (direct):
Cs: 0.000 0.000 0.000
Cs: 0.267 0.733 0.500
Cs: 0.733 0.267 0.500
Ce: 0.249 0.249 0.520
Ce: 0.751 0.751 0.480
Br: 0.091 0.608 0.701
Br: 0.137 0.137 0.718
Br: 0.343 0.343 0.296
Br: 0.392 0.909 0.299
Br: 0.608 0.091 0.701
Br: 0.657 0.657 0.704
Br: 0.863 0.863 0.282
Br: 0.909 0.392 0.299

Values from the calculation:
Space group = C2/m, No. 12
ΔE_f (raw) = -1.72 eV per atom

---

Record 8
Nd6BiSb3As2 after structural relaxation, computed with PBE.

abc: 9.957 9.957 8.931
angles: 102.90 102.90 25.81
Positions (direct):
Nd: 0.006 0.006 0.258
Nd: 0.329 0.329 0.425
Nd: 0.330 0.330 0.903
Nd: 0.670 0.670 0.097
Nd: 0.671 0.671 0.575
Nd: 0.994 0.994 0.742
Bi: 0.500 0.500 0.000
Sb: 0.164 0.164 0.832
Sb: 0.500 0.500 0.500
Sb: 0.836 0.836 0.168
As: 0.168 0.168 0.336
As: 0.832 0.832 0.664

Values from the calculation:
Space group = C2/m, No. 12
ΔE_f (raw) = -1.24 eV per atom

---

Record 9
Nb3CrNi after structural relaxation, computed with PBE.

abc: 4.547 4.547 4.547
angles: 90.00 90.00 90.00
Positions (direct):
Nb: 0.000 0.000 0.500
Nb: 0.000 0.500 0.000
Nb: 0.500 0.000 0.000
Cr: 0.000 0.000 0.000
Ni: 0.500 0.500 0.500

Values from the calculation:
Energy of formation = 24.2 kcal/mol of atoms
Space group = Pm-3m, No. 221

---

Record 10
CeTm2Th3Se6 after structural relaxation, computed with PBE.

abc: 7.010 7.010 7.441
angles: 99.03 99.03 119.90
Positions (direct):
Ce: 0.000 0.000 0.000
Tm: 0.333 0.667 0.000
Tm: 0.667 0.333 0.000
Th: 0.162 0.838 0.500
Th: 0.500 0.500 0.500
Th: 0.838 0.162 0.500
Se: 0.078 0.422 0.236
Se: 0.267 0.267 0.770
Se: 0.422 0.078 0.236
Se: 0.578 0.922 0.764
Se: 0.733 0.733 0.230
Se: 0.922 0.578 0.764

Values from the calculation:
Space group = C2/m, No. 12
ΔE_f (raw) = -1.63 eV per atom

---

Record 11
KFePt2 after structural relaxation, computed with PBE.

abc: 4.222 4.222 4.031
angles: 90.00 90.00 90.00
Positions (direct):
K: 0.000 0.000 0.000
Fe: 0.500 0.500 0.000
Pt: 0.000 0.500 0.500
Pt: 0.500 0.000 0.500

Values from the calculation:
Energy of formation = 13.3 kcal/mol of atoms
Space group = P4/mmm, No. 123

---

Record 12
TlSb2F after structural relaxation, computed with PBE.

abc: 5.072 5.072 5.072
angles: 60.00 60.00 60.00
Positions (direct):
Tl: 0.000 0.000 0.000
Sb: 0.250 0.250 0.250
Sb: 0.750 0.750 0.750
F: 0.500 0.500 0.500

Values from the calculation:
Space group = Fm-3m, No. 225
ΔE_f (raw) = -0.31 eV per atom

---

Record 13
La3MoRh after structural relaxation, computed with PBE.

abc: 5.364 5.364 5.364
angles: 90.00 90.00 90.00
Positions (direct):
La: 0.000 0.000 0.500
La: 0.000 0.500 0.000
La: 0.500 0.000 0.000
Mo: 0.000 0.000 0.000
Rh: 0.500 0.500 0.500

Values from the calculation:
Energy of formation = 9.8 kcal/mol of atoms
Space group = Pm-3m, No. 221

---

Record 14
ZnTeRhI2 after structural relaxation, computed with PBE.

abc: 5.605 5.605 5.066
angles: 90.00 90.00 90.00
Positions (direct):
Zn: 0.000 0.000 0.000
Te: 0.500 0.500 0.000
Rh: 0.500 0.500 0.500
I: 0.000 0.500 0.500
I: 0.500 0.000 0.500

Values from the calculation:
Space group = P4/mmm, No. 123
ΔE_f (raw) = 0.28 eV per atom

---

Record 15
CaCdRe2 after structural relaxation, computed with PBE.

abc: 5.623 5.623 2.675
angles: 90.00 90.00 120.02
Positions (direct):
Ca: 0.000 0.000 0.000
Cd: 0.500 0.500 0.000
Re: 0.000 0.500 0.500
Re: 0.500 0.000 0.500

Values from the calculation:
Energy of formation = 18.1 kcal/mol of atoms
Space group = Cmmm, No. 65

---

Record 16
Pr6HgTe4 after structural relaxation, computed with PBE.

abc: 8.918 8.918 8.918
angles: 90.58 90.58 90.58
Positions (direct):
Pr: 0.057 0.925 0.678
Pr: 0.075 0.322 0.943
Pr: 0.178 0.425 0.557
Pr: 0.322 0.943 0.075
Pr: 0.425 0.557 0.178
Pr: 0.443 0.822 0.575
Pr: 0.557 0.178 0.425
Pr: 0.575 0.443 0.822
Pr: 0.678 0.057 0.925
Pr: 0.822 0.575 0.443
Pr: 0.925 0.678 0.057
Pr: 0.943 0.075 0.322
Hg: 0.000 0.000 0.000
Hg: 0.500 0.500 0.500
Te: 0.138 0.750 0.362
Te: 0.250 0.250 0.250
Te: 0.250 0.638 0.862
Te: 0.362 0.138 0.750
Te: 0.638 0.862 0.250
Te: 0.750 0.362 0.138
Te: 0.750 0.750 0.750
Te: 0.862 0.250 0.638

Values from the calculation:
Space group = R-3c, No. 167
ΔE_f (raw) = -0.96 eV per atom

---

Record 17
AsRhPb2 after structural relaxation, computed with PBE.

abc: 8.015 8.015 8.015
angles: 26.96 26.96 26.96
Positions (direct):
As: 0.000 0.000 0.000
Rh: 0.500 0.500 0.500
Pb: 0.245 0.245 0.245
Pb: 0.755 0.755 0.755

Values from the calculation:
Energy of formation = 4.1 kcal/mol of atoms
Space group = R-3m, No. 166

---

Record 18
AsPIrC after structural relaxation, computed with PBE.

abc: 4.514 2.738 5.894
angles: 90.00 109.76 90.00
Positions (direct):
As: 0.000 0.000 0.000
P: 0.245 0.000 0.506
Ir: 0.500 0.500 0.272
C: 0.850 0.000 0.290

Values from the calculation:
Energy of formation = 10.4 kcal/mol of atoms
Space group = Pm, No. 6

---

Record 19
Cr2InRe after structural relaxation, computed with PBE.

abc: 4.998 4.998 4.998
angles: 135.96 135.96 64.04
Positions (direct):
Cr: 0.000 0.000 0.000
Cr: 0.750 0.250 0.500
In: 0.250 0.750 0.500
Re: 0.500 0.500 0.000

Values from the calculation:
Energy of formation = 11.7 kcal/mol of atoms
Space group = I-4m2, No. 119

---

Record 20
NdDyHo2Er4 after structural relaxation, computed with PBE.

abc: 9.456 9.456 6.759
angles: 110.94 110.94 88.79
Positions (direct):
Nd: 0.000 0.500 0.000
Nd: 0.500 0.000 0.500
Dy: 0.000 0.000 0.000
Dy: 0.000 0.000 0.500
Ho: 0.000 0.500 0.500
Ho: 0.500 0.000 0.000
Ho: 0.500 0.500 0.000
Ho: 0.500 0.500 0.500
Er: 0.249 0.252 0.502
Er: 0.250 0.749 0.501
Er: 0.251 0.750 0.999
Er: 0.252 0.249 0.002
Er: 0.748 0.751 0.998
Er: 0.749 0.250 0.001
Er: 0.750 0.251 0.499
Er: 0.751 0.748 0.498

Values from the calculation:
Energy of formation = 10.2 kcal/mol of atoms
Space group = C2/c, No. 15

---

Record 21
Y2CuPb after structural relaxation, computed with PBE.

abc: 4.349 6.040 6.040
angles: 40.92 90.00 90.00
Positions (direct):
Y: 0.000 0.000 0.000
Y: 0.500 0.287 0.287
Cu: 0.500 0.553 0.553
Pb: 0.000 0.716 0.716

Values from the calculation:
Energy of formation = -7.9 kcal/mol of atoms
Space group = Amm2, No. 38

---

Record 22
KMg3Be after structural relaxation, computed with PBE.

abc: 5.047 5.047 5.047
angles: 90.00 90.00 90.00
Positions (direct):
K: 0.000 0.000 0.000
Mg: 0.000 0.500 0.500
Mg: 0.500 0.000 0.500
Mg: 0.500 0.500 0.000
Be: 0.500 0.500 0.500

Values from the calculation:
Energy of formation = 6.3 kcal/mol of atoms
Space group = Pm-3m, No. 221

---

Record 23
Ca2BeIn after structural relaxation, computed with PBE.

abc: 3.475 3.475 8.813
angles: 90.00 90.00 90.00
Positions (direct):
Ca: 0.000 0.000 0.000
Ca: 0.500 0.500 0.369
Be: 0.500 0.500 0.780
In: 0.000 0.000 0.630

Values from the calculation:
Energy of formation = 2.6 kcal/mol of atoms
Space group = P4mm, No. 99

---

Record 24
HoSi4Rh6 after structural relaxation, computed with PBE.

abc: 7.031 7.031 3.768
angles: 90.00 90.00 120.00
Positions (direct):
Ho: 0.000 0.000 0.000
Si: 0.333 0.667 0.000
Si: 0.399 0.200 0.500
Si: 0.800 0.200 0.500
Si: 0.800 0.601 0.500
Rh: 0.197 0.395 0.500
Rh: 0.197 0.803 0.500
Rh: 0.533 0.066 0.000
Rh: 0.533 0.467 0.000
Rh: 0.605 0.803 0.500
Rh: 0.934 0.467 0.000

Values from the calculation:
Space group = P-6m2, No. 187
ΔE_f (raw) = -1.00 eV per atom

---

Record 25
Ta3VGe after structural relaxation, computed with PBE.

abc: 4.642 4.642 4.642
angles: 90.00 90.00 90.00
Positions (direct):
Ta: 0.000 0.000 0.500
Ta: 0.000 0.500 0.000
Ta: 0.500 0.000 0.000
V: 0.000 0.000 0.000
Ge: 0.500 0.500 0.500

Values from the calculation:
Energy of formation = 26.2 kcal/mol of atoms
Space group = Pm-3m, No. 221

---

Number 1: calculated total energy -4.44 eV/atom, size of the total moment 0.00 μB per formula unit, calculated density 7.1 g cm⁻³. Number 2: calculated total energy -3.66 eV/atom, size of the total moment 0.00 μB per formula unit, calculated density 11.3 g cm⁻³. Number 3: calculated total energy -6.93 eV/atom, size of the total moment 14.27 μB per formula unit, calculated density 7.9 g cm⁻³. Number 4: calculated total energy -5.78 eV/atom, size of the total moment 0.00 μB per formula unit, calculated density 17.9 g cm⁻³. Number 5: calculated total energy -5.38 eV/atom, size of the total moment 0.00 μB per formula unit, calculated density 6.1 g cm⁻³. Number 6: calculated total energy -5.43 eV/atom, size of the total moment 0.93 μB per formula unit, calculated density 8.4 g cm⁻³. Number 7: calculated total energy -3.86 eV/atom, size of the total moment 3.00 μB per formula unit, calculated density 3.3 g cm⁻³. Number 8: calculated total energy -5.75 eV/atom, size of the total moment 0.00 μB per formula unit, calculated density 7.0 g cm⁻³. Number 9: calculated total energy -8.07 eV/atom, size of the total moment 0.00 μB per formula unit, calculated density 6.9 g cm⁻³. Number 10: calculated total energy -6.46 eV/atom, size of the total moment 0.67 μB per formula unit, calculated density 9.1 g cm⁻³. Number 11: calculated total energy -4.83 eV/atom, size of the total moment 3.73 μB per formula unit, calculated density 11.2 g cm⁻³. Number 12: calculated total energy -3.43 eV/atom, size of the total moment 0.00 μB per formula unit, calculated density 8.4 g cm⁻³. Number 13: calculated total energy -6.17 eV/atom, size of the total moment 0.00 μB per formula unit, calculated density 6.6 g cm⁻³. Number 14: calculated total energy -2.69 eV/atom, size of the total moment 0.00 μB per formula unit, calculated density 5.7 g cm⁻³. Number 15: calculated total energy -6.17 eV/atom, size of the total moment 0.00 μB per formula unit, calculated density 11.9 g cm⁻³. Number 16: calculated total energy -4.73 eV/atom, size of the total moment 0.00 μB per formula unit, calculated density 7.3 g cm⁻³. Number 17: calculated total energy -4.68 eV/atom, size of the total moment 0.00 μB per formula unit, calculated density 10.5 g cm⁻³. Number 18: calculated total energy -6.59 eV/atom, size of the total moment 0.00 μB per formula unit, calculated density 7.5 g cm⁻³. Number 19: calculated total energy -8.10 eV/atom, size of the total moment 2.35 μB per formula unit, calculated density 11.3 g cm⁻³. Number 20: calculated total energy -4.15 eV/atom, size of the total moment 3.20 μB per formula unit, calculated density 8.3 g cm⁻³. Number 21: calculated total energy -5.53 eV/atom, size of the total moment 0.00 μB per formula unit, calculated density 7.2 g cm⁻³. Number 22: calculated total energy -1.65 eV/atom, size of the total moment 0.00 μB per formula unit, calculated density 1.6 g cm⁻³. Number 23: calculated total energy -2.51 eV/atom, size of the total moment 0.00 μB per formula unit, calculated density 3.2 g cm⁻³. Number 24: calculated total energy -7.40 eV/atom, size of the total moment 0.00 μB per formula unit, calculated density 9.2 g cm⁻³. Number 25: calculated total energy -8.72 eV/atom, size of the total moment 0.00 μB per formula unit, calculated density 11.1 g cm⁻³.